Density functional theory data (PBE) for a relaxed structure of Co2HRuW.

a = 3.713 Å, b = 3.713 Å, c = 3.804 Å
α = 90.00°, β = 90.00°, γ = 90.00°
Site moments in Bohr magnetons follow the coordinates.
Atoms (fractional coordinates):
1 Ru 0.000 0.000 0.500  0.06
2 W 0.500 0.500 0.500  -0.12
3 H 0.000 0.000 0.000  0.00
4 Co 0.500 0.000 0.000  0.40
5 Co 0.000 0.500 0.000  0.40

Output
Space-group type = No. 123

Density functional theory data (PBE) for a relaxed structure of Ba2TlGaPd.

a = 6.184 Å, b = 6.184 Å, c = 4.843 Å
α = 90.00°, β = 90.00°, γ = 90.00°
Atoms (fractional coordinates):
1 Ba 0.000 0.500 0.000
2 Ba 0.500 0.000 0.000
3 Ga 0.000 0.000 0.500
4 Tl 0.500 0.500 0.500
5 Pd 0.000 0.000 0.000

Output
Space-group type = No. 123
Energy of formation = -0.3892 eV/atom

The calculation returns the following total energy values, one per record and in order: -39.88, -16.38 eV per cell.